No. 1
Li2YOs PBE-GGA relaxed; formation energy = 0.4325 eV per atom; energy above the most stable polymorph in this dataset = 0.274 eV/atom
1.0
-2.9646 -4.3247 -0.3136
5.1565 -0.6602 -0.7520
0.3453 -0.4362 2.7507
Y Li Os
1 2 1
Direct
0.0000 0.5000 0.5000
0.5000 0.5000 0.0000
0.0000 0.0000 0.0000
0.5000 0.0000 0.5000


No. 2
LiRe4As PBE-GGA relaxed; formation energy = 0.6561 eV per atom
1.0
0.0000 3.6972 3.6972
3.6972 0.0000 3.6972
3.6972 3.6972 0.0000
Li As Re
1 1 4
Direct
0.0000 0.0000 0.0000
0.7500 0.7500 0.7500
0.3749 0.3749 0.3749
0.3749 0.8752 0.3749
0.8752 0.3749 0.3749
0.3749 0.3749 0.8752


No. 3
LiCa3Zn PBE-GGA relaxed; formation energy = -0.0351 eV per atom; energy above the most stable polymorph in this dataset = 0.039 eV/atom
1.0
-0.5729 -5.7137 -5.1713
-5.1032 -3.6044 4.5478
-5.7746 3.7522 -3.5061
Ca Zn Li
9 3 3
Direct
0.7693 0.7693 0.2307
0.2307 0.7693 0.7693
0.2307 0.2307 0.7693
0.5000 0.5000 0.5000
0.7693 0.2307 0.2307
0.7693 0.2307 0.7693
0.2307 0.7693 0.2307
0.2307 0.2307 0.2307
0.7693 0.7693 0.7693
0.0000 0.0000 0.5000
0.5000 0.0000 0.0000
0.0000 0.5000 0.0000
0.0000 0.5000 0.5000
0.5000 0.0000 0.5000
0.5000 0.5000 0.0000


No. 4
LiGe2Sb PBE-GGA relaxed; formation energy without anion corrections = -0.0282 eV/atom
1.0
-1.5031 0.6626 4.4498
3.8963 -0.4386 1.3814
0.6044 4.0929 -0.4053
Li Sb Ge
1 1 2
Direct
0.5000 0.5000 0.5000
0.5000 0.0000 0.0000
0.0000 0.5000 0.0000
0.0000 0.0000 0.5000


No. 5
TbTcPH2 PBE-GGA relaxed; total energy = -6.12 eV/atom
1.0
-3.1167 -1.7857 -1.1124
3.7796 -0.2270 -3.8698
2.1255 -5.1927 2.3805
Tb H P Tc
2 4 2 2
Direct
0.2885 0.5769 0.2500
0.7115 0.4231 0.7500
0.8287 0.6575 0.4400
0.8287 0.6575 0.0600
0.1713 0.3425 0.5600
0.1713 0.3425 0.9400
0.4293 0.8586 0.7500
0.5707 0.1414 0.2500
0.0000 0.0000 0.0000
0.0000 0.0000 0.5000


No. 6
NiBH PBE-GGA relaxed; energy above the most stable polymorph in this dataset = 0.264 eV/atom
1.0
2.4472 0.0000 0.0084
0.0000 3.2380 0.0000
-0.1787 0.0000 5.1532
Ni H B
2 2 2
Direct
0.0911 0.0000 0.7038
0.0911 0.5000 0.2038
0.9556 0.5000 0.7690
0.9556 0.0000 0.2690
0.6229 0.0000 0.0389
0.6229 0.5000 0.5389


Respective spin magnetization values: 0.00; 0.00; 0.00; 0.00; 0.00; 0.00 μB per cell.